Here is an optimized crystal structure of SmEr4Hg from the Alexandria database. Energies are from GGA-PBE.

Structure (POSCAR):
```
SmEr4Hg
1.0
3.5572 0.0000 0.0000
0.0000 3.5572 0.0000
0.0000 0.0000 13.9603
Sm Er Hg
1 4 1
Cartesian
0.0000 0.0000 0.0000 Sm
0.0000 0.0000 4.9880 Er
0.0000 0.0000 8.9723 Er
1.7786 1.7786 2.5071 Er
1.7786 1.7786 11.4532 Er
1.7786 1.7786 6.9802 Hg
```

Results
Offset from the most stable computed form: 0.0 meV per atom